Computed, not measured: an optimized crystal structure of TiTc2Sn at the PBE-GGA level of DFT.

Summary:
Space group   P4/mmm
DOS at the Fermi energy   1.6057 states/eV/atom
Raw total energy   -33.29 eV per cell
Mass density   9.30 g/cm³

Cell: 3.227 3.227 6.214 Å, 90.00 90.00 90.00°
Sites, in units of the cell vectors:
1 Ti 0.500 0.500 0.000
2 Sn 0.500 0.500 0.500
3 Tc 0.000 0.000 0.763
4 Tc 0.000 0.000 0.237